No. 1
DFT (PBE) results for a relaxed CoSbH crystal.

Unit cell a=3.8565 b=3.8565 c=6.7394 alpha=90.00 beta=90.00 gamma=90.00
Closest atoms and distances in Å follow each position.
Space group P4/nmm (No. 129, origin choice 2)
One atom of each set of equivalent atoms:
1 Co 0.2500 0.7500 0.0000 x2  4 Sb 2.46, 4 Co 2.73
2 Sb 0.2500 0.2500 0.2264 x2  1 H 1.75
3 H 0.2500 0.2500 0.4859 x2  1 Sb 1.75

Output
distance to the lowest polymorph of the same formula	0.301	eV per atom
total moment	0.000	μB/f.u.
density of states at the Fermi level	2.17	states/eV/f.u.
raw total energy	-4.576	eV per atom

No. 2
DFT (PBE) results for a relaxed Ta2Ir crystal.

Unit cell a=7.2752 b=7.2752 c=3.4730 alpha=90.00 beta=90.00 gamma=120.00
Closest atoms and distances in Å follow each position.
Space group P-62m (No. 189)
One atom of each set of equivalent atoms:
1 Ta 0.0000 0.2649 0.0000 x3  4 Ir 2.59-2.71
2 Ta 0.0000 0.5917 0.5000 x3  5 Ir 2.81-2.97, 6 Ta 2.94-3.13
3 Ir 0.0000 0.0000 0.5000 x1  6 Ta 2.59
4 Ir 0.3333 0.6667 0.0000 x2  9 Ta 2.71-2.81

Output
energy relative to the elements	-0.233	eV/atom
total moment	0.000	μB/f.u.
density of states at the Fermi level	2.37	states/eV/f.u.
raw total energy	-11.088	eV per atom

No. 3
DFT (PBE) results for a relaxed ZnW3Au crystal.

Unit cell a=4.8496 b=4.8496 c=4.8496 alpha=90.00 beta=90.00 gamma=90.00
Closest atoms and distances in Å follow each position.
Space group Pm-3m (No. 221)
One atom of each set of equivalent atoms:
1 Zn 0.0000 0.0000 0.0000 x1  12 W 3.43
2 W 0.0000 0.5000 0.5000 x3  2 Au 2.42
3 Au 0.5000 0.5000 0.5000 x1  6 W 2.42

Output
distance to the lowest polymorph of the same formula	0.820	eV per atom
energy relative to the elements	2.711	eV/atom
total moment	0.000	μB/f.u.
density of states at the Fermi level	3.32	states/eV/f.u.
raw total energy	-5.971	eV per atom

No. 4
DFT (PBE) results for a relaxed LiLaMg crystal.

Unit cell a=5.3253 b=5.3253 c=3.3494 alpha=90.00 beta=90.00 gamma=120.00
Closest atoms and distances in Å follow each position.
Space group P3m1 (No. 156)
One atom of each set of equivalent atoms:
1 Li 0.0000 0.0000 0.0000 x1  3 Mg 3.07, 2 Li 3.35
2 La 0.3333 0.6667 0.5014 x1  2 La 3.35, 6 Mg 3.50, 6 Li 3.50
3 Mg 0.6667 0.3333 0.0029 x1  3 Li 3.07, 2 Mg 3.35

Output
distance to the lowest polymorph of the same formula	0.000	eV per atom
energy relative to the elements	-0.030	eV/atom
total moment	0.102	μB/f.u.
density of states at the Fermi level	2.32	states/eV/f.u.
raw total energy	-2.842	eV per atom

No. 5
DFT (PBE) results for a relaxed LiTlSCl2 crystal.

Unit cell a=5.4612 b=5.4612 c=5.0499 alpha=90.00 beta=90.00 gamma=90.00
Closest atoms and distances in Å follow each position.
Space group P4/mmm (No. 123)
One atom of each set of equivalent atoms:
1 Li 0.0000 0.0000 0.0000 x1  8 Cl 3.72, 4 S 3.86
2 Tl 0.5000 0.5000 0.5000 x1  2 S 2.52, 4 Cl 2.73
3 S 0.5000 0.5000 0.0000 x1  2 Tl 2.52
4 Cl 0.0000 0.5000 0.5000 x2  2 Tl 2.73

Output
distance to the lowest polymorph of the same formula	0.067	eV per atom
formation energy from raw total energies	-2.33	eV per formula unit
total moment	0.233	μB/f.u.
density of states at the Fermi level	4.86	states/eV/f.u.
raw total energy	-2.886	eV per atom

No. 6
DFT (PBE) results for a relaxed Zr2As2Au crystal.

Unit cell a=7.4270 b=7.4270 c=3.5230 alpha=90.00 beta=90.00 gamma=90.00
Closest atoms and distances in Å follow each position.
Space group P4/mbm (No. 127)
One atom of each set of equivalent atoms:
1 Zr 0.1511 0.3489 0.0000 x4  6 As 2.76-2.83
2 As 0.1468 0.6468 0.5000 x4  6 Zr 2.76-2.83, 2 Au 2.84, 1 As 3.08
3 Au 0.0000 0.0000 0.5000 x2  4 As 2.84

Output
distance to the lowest polymorph of the same formula	0.000	eV per atom
energy relative to the elements	-0.727	eV/atom
total moment	0.000	μB/f.u.
density of states at the Fermi level	2.62	states/eV/f.u.
raw total energy	-6.661	eV per atom